Compound: LaDy6Th2
Source: Alexandria
Functional: PBE
Structure: relaxed

Computed properties:
Crystal system   hexagonal
DFT formation energy   80.6 meV per atom

Cell: 3.5723 3.5723 26.5960 Å, 90.00 90.00 120.00°
Last column: nearest neighbours and their distance in Å.
Space group P-6m2 (No. 187)
Symmetry-distinct sites (fractional):
La1 0.0000 0.0000 0.0000  6 La 3.57, 6 Dy 3.68
Dy1 0.0000 0.0000 0.2207  9 Dy 3.49-3.57, 3 Th 3.60
Dy2 0.0000 0.0000 0.4376  7 Dy 3.32-3.57, 3 Th 3.49
Dy3 0.3333 0.6667 0.1146  9 Dy 3.49-3.57, 3 La 3.68
Th1 0.3333 0.6667 0.3317  6 Dy 3.49-3.60, 6 Th 3.57

Compound: CsTl2InF6
Source: Alexandria
Functional: PBE
Structure: relaxed

Computed properties:
Crystal system   monoclinic
Raw total energy   -4.286 eV per atom

Cell: 6.3893 7.2550 11.4032 Å, 90.00 123.44 90.00°
Last column: nearest neighbours and their distance in Å.
Space group P2_1/c (No. 14)
Symmetry-distinct sites (fractional):
Cs1 0.0000 0.0000 0.0000  6 F 2.92-3.14
Tl1 0.2200 0.0328 0.7280  6 F 2.73-2.91
In1 0.5000 0.0000 0.5000  6 F 2.12-2.13
F1 0.1953 0.1426 0.4857  1 In 2.13
F2 0.2482 0.7235 0.8988  1 In 2.12
F3 0.4075 0.1023 0.3022  1 In 2.13

Compound: La2Sm5Y2
Source: Alexandria
Functional: PBE
Structure: relaxed

Computed properties:
Crystal system   orthorhombic
DFT formation energy   187.8 meV per atom

Cell: 15.0810 12.0854 6.8335 Å, 90.00 90.00 90.00°
Last column: nearest neighbours and their distance in Å.
Space group Ima2 (No. 46)
Symmetry-distinct sites (fractional):
La1 0.0000 0.0000 0.0000  4 Sm 3.32-3.62, 2 Y 3.69
La2 0.2500 0.0038 0.0700  4 Sm 3.45-3.62, 2 Y 3.70, 2 La 3.80
Sm1 0.0533 0.7439 0.6885  5 Sm 3.24-3.62, 1 La 3.32, 1 Y 3.46
Sm2 0.1426 0.2312 0.8765  4 Sm 3.24-3.45, 1 Y 3.42, 1 La 3.45
Sm3 0.2500 0.7368 0.8867  6 Sm 3.26-3.62, 2 La 3.46-3.62, 2 Y 3.59
Y1 0.1253 0.0017 0.5370  4 Sm 3.42-3.63, 2 La 3.69-3.70, 2 Y 3.76-3.78

Compound: Ba2UCl6
Source: Alexandria
Functional: PBE
Structure: relaxed

Computed properties:
Crystal system   tetragonal
Raw total energy   -4.873 eV per atom

Cell: 7.1274 7.1274 13.4583 Å, 90.00 90.00 90.00°
Last column: nearest neighbours and their distance in Å.
Space group P4_2/mnm (No. 136)
Symmetry-distinct sites (fractional):
Ba1 0.0000 0.0000 0.1693  6 Cl 3.08-3.16
U1 0.0000 0.0000 0.5000  6 Cl 2.84-2.85
Cl1 0.1952 0.1952 0.3478  1 U 2.84, 2 Ba 3.08-3.11
Cl2 0.2169 0.2169 0.0000  1 U 2.85, 2 Ba 3.16

Compound: NiAu3
Source: Alexandria
Functional: PBE
Structure: relaxed

Computed properties:
Crystal system   orthorhombic
DFT formation energy   87.8 meV per atom

Cell: 4.7243 5.6449 4.9230 Å, 90.00 90.00 90.00°
Last column: nearest neighbours and their distance in Å.
Space group Pmmn (No. 59, origin choice 2)
Symmetry-distinct sites (fractional):
Ni1 0.2500 0.2500 0.1680  12 Au 2.82-2.87
Au1 0.2500 0.0013 0.6676  8 Au 2.79-2.90, 4 Ni 2.83-2.87
Au2 0.2500 0.7500 0.1544  8 Au 2.79-2.90, 4 Ni 2.82-2.85

Compound: LiNb2Tc
Source: Alexandria
Functional: PBE
Structure: relaxed

Computed properties:
Crystal system   tetragonal
DFT formation energy   557.8 meV per atom

Cell: 7.0892 7.0892 5.5053 Å, 90.00 90.00 90.00°
Last column: nearest neighbours and their distance in Å.
Space group I-42d (No. 122)
Symmetry-distinct sites (fractional):
Li1 0.0000 0.0000 0.0000  4 Nb 2.67, 2 Tc 2.75
Nb1 0.2347 0.7500 0.6250  2 Tc 2.53, 2 Li 2.67, 2 Nb 2.76
Tc1 0.0000 0.0000 0.5000  4 Nb 2.53, 2 Li 2.75

Compound: GaSnBi2
Source: Alexandria
Functional: PBE
Structure: relaxed

Computed properties:
Crystal system   trigonal
DFT formation energy   114.5 meV per atom

Cell: 4.2339 4.2339 22.9495 Å, 90.00 90.00 120.00°
Last column: nearest neighbours and their distance in Å.
Space group R3m (No. 160, hexagonal axes)
Symmetry-distinct sites (fractional):
Ga1 0.0000 0.0000 0.0000  6 Bi 3.00-3.01
Sn1 0.0000 0.0000 0.1668  6 Bi 3.21-3.22
Bi1 0.0000 0.0000 0.4089  3 Ga 3.00, 3 Sn 3.22
Bi2 0.0000 0.0000 0.5905  3 Ga 3.01, 3 Sn 3.21

Compound: HgIr2Ru2
Source: Alexandria
Functional: PBE
Structure: relaxed

Computed properties:
Crystal system   tetragonal
DFT formation energy   379.9 meV per atom

Cell: 7.6341 7.6341 2.7681 Å, 90.00 90.00 90.00°
Last column: nearest neighbours and their distance in Å.
Space group P4/mbm (No. 127)
Symmetry-distinct sites (fractional):
Hg1 0.0000 0.0000 0.0000  2 Hg 2.77, 4 Ru 3.03
Ir1 0.1695 0.3305 0.5000  6 Ru 2.63-2.65, 2 Ir 2.77
Ru1 0.1231 0.6231 0.0000  6 Ir 2.63-2.65, 3 Ru 2.66-2.77

Please write out number 4 again, unchanged.
Compound: Ba2UCl6
Source: Alexandria
Functional: PBE
Structure: relaxed

Computed properties:
Crystal system   tetragonal
Raw total energy   -4.873 eV per atom

Cell: 7.1274 7.1274 13.4583 Å, 90.00 90.00 90.00°
Last column: nearest neighbours and their distance in Å.
Space group P4_2/mnm (No. 136)
Symmetry-distinct sites (fractional):
Ba1 0.0000 0.0000 0.1693  6 Cl 3.08-3.16
U1 0.0000 0.0000 0.5000  6 Cl 2.84-2.85
Cl1 0.1952 0.1952 0.3478  1 U 2.84, 2 Ba 3.08-3.11
Cl2 0.2169 0.2169 0.0000  1 U 2.85, 2 Ba 3.16